Entry 1:
PBE AcAg2Sn3, optimized geometry; symmetry = Cmcm; ΔE to the lowest computed polymorph = 0.150 eV/atom; ΔH_f (0 K) = -0.199 eV/atom; N(E_F) = 3.47 states/eV/f.u.; total DFT energy (no corrections) = -3.836 eV per atom
1.0
-0.846 -1.646 6.756
5.527 -4.005 -0.283
3.433 5.625 1.800
Sn Ac Ag
6 2 4
direct
0.750 0.012 0.012 Sn
0.250 0.857 0.554 Sn
0.250 0.554 0.857 Sn
0.750 0.143 0.446 Sn
0.750 0.446 0.143 Sn
0.250 0.988 0.988 Sn
0.750 0.651 0.651 Ac
0.250 0.349 0.349 Ac
0.000 0.236 0.764 Ag
0.000 0.764 0.236 Ag
0.500 0.236 0.764 Ag
0.500 0.764 0.236 Ag


Entry 2:
PBE AcNdSm, optimized geometry; symmetry = P2_1/c; ΔE to the lowest computed polymorph = 0.012 eV/atom; ΔH_f (0 K) = 0.048 eV/atom; N(E_F) = 3.93 states/eV/f.u.; total DFT energy (no corrections) = -4.484 eV per atom
1.0
6.477 1.454 0.000
2.273 6.237 0.000
0.000 0.000 12.212
Ac Nd Sm
4 4 4
direct
0.155 0.762 0.367 Ac
0.845 0.738 0.633 Ac
0.345 0.238 0.867 Ac
0.655 0.262 0.133 Ac
0.507 0.429 0.613 Nd
0.993 0.571 0.113 Nd
0.007 0.929 0.887 Nd
0.493 0.071 0.387 Nd
0.155 0.074 0.617 Sm
0.655 0.574 0.883 Sm
0.845 0.426 0.383 Sm
0.345 0.926 0.117 Sm


Entry 3:
PBE NdGaBi, optimized geometry; symmetry = P3m1; ΔE to the lowest computed polymorph = 0.000 eV/atom; ΔH_f (0 K) = -0.444 eV/atom; N(E_F) = 1.80 states/eV/f.u.; total DFT energy (no corrections) = -4.336 eV per atom
1.0
-0.045 -4.159 0.208
3.437 0.135 3.447
-4.705 0.113 1.248
Bi Ga Nd
1 1 1
direct
0.763 0.667 0.333 Bi
0.938 0.000 0.000 Ga
0.299 0.333 0.667 Nd


Entry 4:
PBE InIr2Pt, optimized geometry; symmetry = F-43m; ΔH_f (0 K) = 0.218 eV/atom; N(E_F) = 5.67 states/eV/f.u.; total DFT energy (no corrections) = -6.408 eV per atom
1.0
4.525 0.000 0.000
2.263 3.919 0.000
2.263 1.306 3.695
Ir Pt In
2 1 1
direct
0.000 0.000 0.000 Ir
0.750 0.750 0.750 Ir
0.250 0.250 0.250 Pt
0.500 0.500 0.500 In


Entry 5:
PBE PuSb2Pt, optimized geometry; symmetry = P4/mmm; N(E_F) = 12.62 states/eV/f.u.; energy relative to the elements, uncorrected = -465.0 meV/atom; total DFT energy (no corrections) = -7.619 eV per atom
1.0
-0.835 3.566 -1.811
-4.306 -1.522 -1.010
-1.556 1.702 4.070
Sb Pu Pt
2 1 1
direct
0.000 0.000 0.500 Sb
0.000 0.500 0.000 Sb
0.500 0.000 0.000 Pu
0.500 0.500 0.500 Pt


Entry 6:
PBE U2ZnOs, optimized geometry; symmetry = P4/mmm; ΔH_f (0 K) = 0.029 eV/atom; N(E_F) = 6.74 states/eV/f.u.; total DFT energy (no corrections) = -8.741 eV per atom
1.0
4.252 0.000 0.000
0.000 4.128 0.000
0.000 0.000 4.128
U Os Zn
2 1 1
direct
0.000 0.000 0.500 U
0.000 0.500 0.000 U
0.500 0.000 0.000 Os
0.500 0.500 0.500 Zn


Entry 7:
PBE SrMgCdF6, optimized geometry; symmetry = P-31c; N(E_F) = 0.00 states/eV/f.u.; energy relative to the elements, uncorrected = -3209.2 meV/atom; total DFT energy (no corrections) = -4.923 eV per atom
1.0
-1.416 4.477 -3.106
0.813 -4.994 -2.467
-9.950 -2.255 1.286
F Mg Sr Cd
12 2 2 2
direct
0.629 0.661 0.640 F
0.661 0.629 0.140 F
0.371 0.032 0.140 F
0.339 0.371 0.860 F
0.339 0.968 0.640 F
0.371 0.339 0.360 F
0.032 0.371 0.640 F
0.032 0.661 0.860 F
0.968 0.629 0.360 F
0.968 0.339 0.140 F
0.661 0.032 0.360 F
0.629 0.968 0.860 F
0.667 0.333 0.250 Mg
0.333 0.667 0.750 Mg
0.000 0.000 0.000 Sr
0.000 0.000 0.500 Sr
0.333 0.667 0.250 Cd
0.667 0.333 0.750 Cd


Entry 8:
PBE ThZn11Fe, optimized geometry; symmetry = C2/m; ΔH_f (0 K) = -0.130 eV/atom; N(E_F) = 6.72 states/eV/f.u.; total DFT energy (no corrections) = -2.429 eV per atom
1.0
4.777 0.023 1.990
2.361 6.289 0.983
-0.057 0.011 6.865
Zn Th Fe
11 1 1
direct
0.026 0.640 0.348 Zn
0.000 0.500 0.000 Zn
0.502 0.225 0.779 Zn
0.498 0.775 0.221 Zn
0.626 0.360 0.348 Zn
0.719 0.775 0.779 Zn
0.281 0.225 0.221 Zn
0.000 0.000 0.500 Zn
0.500 0.000 0.500 Zn
0.374 0.640 0.652 Zn
0.974 0.360 0.652 Zn
0.000 0.000 0.000 Th
0.500 0.500 0.000 Fe


Entry 9:
PBE Sr3NbAg, optimized geometry; symmetry = Pm-3m; ΔE to the lowest computed polymorph = 0.000 eV/atom; ΔH_f (0 K) = 0.723 eV/atom; N(E_F) = 4.82 states/eV/f.u.; total DFT energy (no corrections) = -2.871 eV per atom
1.0
-5.163 0.777 2.938
0.833 -5.208 2.841
2.922 2.857 4.380
Sr Ag Nb
3 1 1
direct
0.000 0.500 0.000 Sr
0.500 0.000 0.000 Sr
0.000 0.000 0.500 Sr
0.000 0.000 0.000 Ag
0.500 0.500 0.500 Nb


Entry 10:
PBE TaTcHg2, optimized geometry; symmetry = Immm; ΔE to the lowest computed polymorph = 0.246 eV/atom; ΔH_f (0 K) = 0.472 eV/atom; N(E_F) = 1.91 states/eV/f.u.; total DFT energy (no corrections) = -5.233 eV per atom
1.0
5.502 -0.019 -0.030
2.624 4.836 0.030
-3.742 -2.950 2.751
Hg Tc Ta
2 1 1
direct
0.496 0.496 0.000 Hg
0.004 0.004 0.000 Hg
0.250 0.750 0.500 Tc
0.750 0.250 0.500 Ta


Entry 11:
PBE Zr3BiPb, optimized geometry; symmetry = P2_1/m; ΔE to the lowest computed polymorph = 0.000 eV/atom; ΔH_f (0 K) = -0.204 eV/atom; N(E_F) = 3.26 states/eV/f.u.; total DFT energy (no corrections) = -6.851 eV per atom
1.0
-2.317 -2.884 1.273
5.080 -5.149 -2.418
4.860 -0.870 6.875
Zr Pb Bi
6 2 2
direct
0.250 0.859 0.586 Zr
0.750 0.141 0.414 Zr
0.750 0.301 0.031 Zr
0.250 0.334 0.634 Zr
0.250 0.699 0.969 Zr
0.750 0.666 0.366 Zr
0.250 0.418 0.265 Pb
0.750 0.582 0.735 Pb
0.750 0.029 0.799 Bi
0.250 0.971 0.201 Bi


Entry 12:
PBE YCoSe2, optimized geometry; symmetry = I-42d; N(E_F) = 2.94 states/eV/f.u.; energy relative to the elements, uncorrected = -805.5 meV/atom; total DFT energy (no corrections) = -5.940 eV per atom
1.0
5.780 0.000 0.000
0.000 5.780 0.000
2.890 2.890 6.227
Se Y Co
4 2 2
direct
0.875 0.822 0.750 Se
0.375 0.428 0.750 Se
0.572 0.125 0.250 Se
0.178 0.625 0.250 Se
0.750 0.250 0.500 Y
0.000 0.000 0.000 Y
0.500 0.500 0.000 Co
0.250 0.750 0.500 Co


Entry 13:
PBE CsRbTlBr3, optimized geometry; symmetry = P2_1/m; N(E_F) = 0.00 states/eV/f.u.; energy relative to the elements, uncorrected = -1449.7 meV/atom; total DFT energy (no corrections) = -2.984 eV per atom
1.0
-0.322 3.547 3.365
-1.925 -5.884 6.017
12.859 0.548 0.654
Br Rb Cs Tl
6 2 2 2
direct
0.750 0.556 0.166 Br
0.750 0.048 0.161 Br
0.250 0.745 0.491 Br
0.250 0.952 0.839 Br
0.250 0.444 0.834 Br
0.750 0.255 0.509 Br
0.250 0.767 0.053 Rb
0.750 0.233 0.947 Rb
0.250 0.347 0.306 Cs
0.750 0.653 0.694 Cs
0.750 0.865 0.362 Tl
0.250 0.135 0.638 Tl


Entry 14:
PBE SrSi2Ag, optimized geometry; symmetry = Cmmm; N(E_F) = 1.11 states/eV/f.u.; energy relative to the elements, uncorrected = 282.1 meV/atom; total DFT energy (no corrections) = -3.563 eV per atom
1.0
5.557 -0.044 0.000
-2.093 5.148 0.000
0.000 0.000 2.950
Si Ag Sr
2 1 1
direct
0.000 0.000 0.000 Si
0.500 0.500 0.000 Si
0.000 0.500 0.500 Ag
0.500 0.000 0.500 Sr


Entry 15:
PBE TaP2S, optimized geometry; symmetry = I-42d; N(E_F) = 3.65 states/eV/f.u.; energy relative to the elements, uncorrected = 379.7 meV/atom; total DFT energy (no corrections) = -6.320 eV per atom
1.0
5.655 0.000 0.000
0.000 5.655 0.000
2.828 2.828 5.395
P Ta S
4 2 2
direct
0.875 0.881 0.750 P
0.631 0.125 0.250 P
0.119 0.625 0.250 P
0.375 0.369 0.750 P
0.000 0.000 0.000 Ta
0.750 0.250 0.500 Ta
0.250 0.750 0.500 S
0.500 0.500 0.000 S


Entry 16:
PBE BeCo2Br, optimized geometry; symmetry = Immm; ΔE to the lowest computed polymorph = 0.348 eV/atom; N(E_F) = 4.38 states/eV/f.u.; energy relative to the elements, uncorrected = 668.0 meV/atom; total DFT energy (no corrections) = -4.235 eV per atom
1.0
-1.231 -2.472 -3.678
3.770 -0.930 -2.464
-1.786 -0.690 4.182
Co Br Be
2 1 1
direct
0.461 0.461 0.000 Co
0.039 0.039 0.000 Co
0.750 0.250 0.500 Br
0.250 0.750 0.500 Be


Entry 17:
PBE RbNaPmF5, optimized geometry; symmetry = C2/c; N(E_F) = 0.00 states/eV/f.u.; energy relative to the elements, uncorrected = -3399.6 meV/atom; total DFT energy (no corrections) = -5.449 eV per atom
1.0
-1.456 -2.571 -5.989
5.294 -3.117 2.620
-6.450 -3.097 4.861
Rb F Pm Na
2 10 2 2
direct
0.664 0.336 0.750 Rb
0.336 0.664 0.250 Rb
0.251 0.357 0.578 F
0.749 0.643 0.422 F
0.643 0.749 0.922 F
0.714 0.091 0.400 F
0.071 0.929 0.250 F
0.357 0.251 0.078 F
0.091 0.714 0.900 F
0.909 0.286 0.100 F
0.286 0.909 0.600 F
0.929 0.071 0.750 F
0.000 0.000 0.000 Pm
0.000 0.000 0.500 Pm
0.683 0.317 0.250 Na
0.317 0.683 0.750 Na